## CuSI3 (GGA-PBEsol)

Data for crystalline CuSI3 at its relaxed geometry.

Values from the calculation:
crystal system	monoclinic
formation energy (no corrections)	-3	meV per atom

```
5
Lattice="4.0160 0.0000 0.1973 0.0000 8.2387 0.0000 -1.7646 0.0000 4.4641" Properties=species:S:1:pos:R:3 pbc="T T T"
I 2.8368 6.3264 1.4168
I 0.4432 4.1193 3.9451
I 2.8368 1.9123 1.4168
S -0.8512 0.0000 2.9809
Cu 1.0872 0.0000 4.0435
```

---

## Ca2Si2Hg (GGA-PBEsol)

Data for crystalline Ca2Si2Hg at its relaxed geometry.

Values from the calculation:
crystal system	tetragonal
formation energy (no corrections)	-444	meV per atom

```
10
Lattice="4.4218 0.0000 0.0000 0.0000 7.0738 0.0000 0.0000 0.0000 7.0738" Properties=species:S:1:pos:R:3 pbc="T T T"
Ca 2.2109 2.2928 1.2441
Ca 2.2109 1.2441 4.7810
Ca 2.2109 5.8297 2.2928
Ca 2.2109 4.7810 5.8297
Si 0.0000 6.2378 4.3729
Si 0.0000 0.8360 2.7009
Si 0.0000 2.7009 6.2378
Si 0.0000 4.3729 0.8360
Hg 0.0000 3.5369 3.5369
Hg 0.0000 0.0000 0.0000
```

---

## LaAlGe2Pd (GGA-PBEsol)

Data for crystalline LaAlGe2Pd at its relaxed geometry.

Values from the calculation:
crystal system	tetragonal
formation energy	-0.21	eV/atom

```
5
Lattice="-2.1483 -0.4544 -4.0613 2.5679 -4.0075 -0.9100 -3.4357 -2.6823 2.1175" Properties=species:S:1:pos:R:3 pbc="T T T"
La -1.5081 -3.5721 -1.4269
Ge -1.7178 -1.3411 1.0588
Ge 1.2839 -2.0038 -0.4550
Pd -1.0742 -0.2272 -2.0306
Al 0.0000 0.0000 0.0000
```

---

## Li3CaGa (GGA-PBEsol)

Data for crystalline Li3CaGa at its relaxed geometry.

Values from the calculation:
crystal system	cubic
formation energy	-0.05	eV/atom

```
5
Lattice="-4.6862 0.6786 -1.0782 0.6740 -2.1670 -4.2934 -1.0811 -4.2927 1.9969" Properties=species:S:1:pos:R:3 pbc="T T T"
Li -2.3431 0.3393 -0.5391
Li 0.3370 -1.0835 -2.1467
Li -0.5405 -2.1463 0.9985
Ga 0.0000 0.0000 0.0000
Ca -2.5466 -2.8906 -1.6873
```

---

## Sm2TlAg (GGA-PBEsol)

Data for crystalline Sm2TlAg at its relaxed geometry.

Values from the calculation:
crystal system	cubic
formation energy	-0.35	eV/atom

```
4
Lattice="5.2680 0.0000 0.0000 2.6340 4.5622 0.0000 2.6340 1.5207 4.3013" Properties=species:S:1:pos:R:3 pbc="T T T"
Tl 0.0000 0.0000 0.0000
Sm 2.6340 1.5207 1.0753
Sm 7.9020 4.5622 3.2260
Ag 5.2680 3.0415 2.1507
```

---

## HfCuGe (GGA-PBEsol)

Data for crystalline HfCuGe at its relaxed geometry.

Values from the calculation:
crystal system	orthorhombic
formation energy	-0.56	eV/atom

```
12
Lattice="3.9276 0.0000 0.0000 0.0000 6.4172 0.0000 0.0000 0.0000 7.3169" Properties=species:S:1:pos:R:3 pbc="T T T"
Ge 0.9819 4.9924 2.9183
Ge 2.9457 1.4248 4.3986
Ge 2.9457 4.6334 6.5767
Ge 0.9819 1.7838 0.7402
Cu 0.9819 1.1047 3.0856
Cu 2.9457 2.1040 6.7440
Cu 0.9819 4.3133 0.5729
Cu 2.9457 5.3126 4.2313
Hf 0.9819 0.0666 5.8989
Hf 2.9457 3.1420 2.2405
Hf 2.9457 6.3507 1.4180
Hf 0.9819 3.2752 5.0764
```

---

## RePdS2N (GGA-PBEsol)

Data for crystalline RePdS2N at its relaxed geometry.

Values from the calculation:
crystal system	tetragonal
formation energy (no corrections)	438	meV per atom

```
5
Lattice="3.6844 0.0000 0.0000 0.0000 4.6812 0.0000 0.0000 0.0000 4.6812" Properties=species:S:1:pos:R:3 pbc="T T T"
Pd 1.8422 2.3406 2.3406
S 0.0000 0.0000 2.3406
S 0.0000 2.3406 0.0000
Re 0.0000 0.0000 0.0000
N 1.8422 0.0000 0.0000
```

---

## ScCrPt (GGA-PBEsol)

Data for crystalline ScCrPt at its relaxed geometry.

Values from the calculation:
crystal system	cubic
formation energy	-0.12	eV/atom

```
3
Lattice="-2.7259 -0.9250 -3.2899 -0.7735 -4.1613 -1.0934 -3.9010 -1.7893 0.8310" Properties=species:S:1:pos:R:3 pbc="T T T"
Pt -5.5503 -5.1567 -2.6642
Sc 0.0000 0.0000 0.0000
Cr -3.7002 -3.4378 -1.7762
```

---

## YZr2Co (GGA-PBEsol)

Data for crystalline YZr2Co at its relaxed geometry.

Values from the calculation:
crystal system	monoclinic
formation energy	0.10	eV/atom

```
4
Lattice="-2.4460 1.8539 1.3075 0.9467 -1.3668 3.7090 4.8784 3.9257 0.2015" Properties=species:S:1:pos:R:3 pbc="T T T"
Zr 0.1591 0.2578 0.0544
Zr 0.3676 1.5093 2.6895
Y 2.9855 2.8902 2.5302
Co -0.1399 3.5723 1.3522
```

---

## YAl3 (GGA-PBEsol)

Data for crystalline YAl3 at its relaxed geometry.

Values from the calculation:
crystal system	trigonal
formation energy	-0.45	eV/atom

```
12
Lattice="-4.9123 1.8304 3.1564 -5.4745 -2.4801 -1.1503 -2.2230 -5.1822 5.4770" Properties=species:S:1:pos:R:3 pbc="T T T"
Al -8.0551 -2.1754 3.2288
Al -6.7416 -2.8417 5.6595
Al -2.7372 -1.2400 -0.5752
Al -5.8683 -2.9902 1.8236
Al -6.9918 -4.7606 3.7422
Al -5.6180 -1.0713 3.7409
Al -4.5547 -3.6565 4.2543
Al -5.1934 -0.3248 1.0030
Al -2.4562 0.9152 1.5782
Y 0.0000 0.0000 0.0000
Y -3.0359 -1.9252 2.3232
Y -9.5740 -3.9067 5.1598
```

---

## Na2LiC (GGA-PBEsol)

Data for crystalline Na2LiC at its relaxed geometry.

Values from the calculation:
crystal system	tetragonal
formation energy	1.20	eV/atom

```
8
Lattice="-1.1041 1.9130 -3.1458 0.9912 -3.0085 -2.1774 -8.3010 -2.8383 3.5359" Properties=species:S:1:pos:R:3 pbc="T T T"
Na -6.2653 -2.9079 -0.7435
Na -1.5874 -2.6848 -2.1022
Na -6.2710 -2.1712 2.0549
Na -2.7044 -0.1039 -2.7839
Li -0.0565 -0.5478 -2.6616
Li -4.7308 -0.7366 -1.1358
C -3.6832 -3.1973 -0.6516
C 0.0000 0.0000 0.0000
```

---

## Ti5MnSn3 (GGA-PBEsol)

Data for crystalline Ti5MnSn3 at its relaxed geometry.

Values from the calculation:
crystal system	hexagonal
formation energy	-0.39	eV/atom

```
18
Lattice="5.4101 0.0000 0.0000 0.0000 8.1305 0.0000 0.0000 -4.0653 7.0412" Properties=species:S:1:pos:R:3 pbc="T T T"
Sn 4.0576 -1.6102 2.7890
Sn 1.3525 4.9101 0.0000
Sn 1.3525 -2.4550 4.2523
Sn 1.3525 1.6102 2.7890
Sn 4.0576 2.4550 4.2523
Sn 4.0576 3.2204 0.0000
Ti 1.3525 1.9830 0.0000
Ti 2.7051 0.0000 4.6942
Ti 0.0000 4.0653 2.3471
Ti 4.0576 0.9915 1.7173
Ti 1.3525 -0.9915 1.7173
Ti 2.7051 4.0653 2.3471
Ti 1.3525 3.0738 5.3239
Ti 4.0576 6.1476 0.0000
Ti 4.0576 -3.0738 5.3239
Ti 0.0000 0.0000 4.6942
Mn 0.0000 0.0000 0.0000
Mn 2.7051 0.0000 0.0000
```

---

## TlP2Rh (GGA-PBEsol)

Data for crystalline TlP2Rh at its relaxed geometry.

Values from the calculation:
crystal system	trigonal
formation energy	-0.15	eV/atom

```
4
Lattice="-0.5200 -0.7480 3.7261 -1.2516 -3.4529 1.1066 5.0273 -3.3081 2.0119" Properties=species:S:1:pos:R:3 pbc="T T T"
P 1.8462 -5.4295 5.0909
P 1.4096 -2.0795 1.7536
Rh 1.6279 -3.7545 3.4223
Tl 0.0000 0.0000 0.0000
```

---

## Zr2HgAs (GGA-PBEsol)

Data for crystalline Zr2HgAs at its relaxed geometry.

Values from the calculation:
crystal system	tetragonal
formation energy	-0.45	eV/atom

```
4
Lattice="4.0517 0.0000 0.0000 0.0000 4.0517 0.0000 -2.0258 -2.0258 4.8207" Properties=species:S:1:pos:R:3 pbc="T T T"
Hg 0.0000 2.0258 2.4103
Zr 0.0000 0.0000 0.0000
Zr 2.0258 0.0000 2.4103
As 2.0258 2.0258 0.0000
```

---

## Bi19S27I3 (GGA-PBEsol)

Data for crystalline Bi19S27I3 at its relaxed geometry.

Values from the calculation:
crystal system	trigonal
formation energy (no corrections)	-396	meV per atom

```
98
Lattice="11.9759 0.0000 0.0000 -3.9920 15.3838 0.0000 -3.9920 -7.6919 13.3228" Properties=species:S:1:pos:R:3 pbc="T T T"
Bi -2.9528 3.5436 12.5312
Bi 2.9354 4.8620 5.1673
Bi 1.0071 1.1024 3.9190
Bi -0.9536 4.1315 0.8106
Bi -5.0382 6.3066 9.3305
Bi 7.0019 4.9158 5.2133
Bi -1.0462 12.6190 3.1959
Bi 2.9457 4.1501 0.7964
Bi 8.9426 -2.0451 6.8154
Bi 2.9826 12.5377 2.9180
Bi -3.0143 -0.7166 11.6728
Bi -1.0093 6.5879 9.3989
Bi 1.0514 -0.7840 11.6970
Bi 8.9307 1.3584 3.9806
Bi 0.9777 -2.0587 6.8658
Bi 4.9387 -4.9238 10.1561
Bi 3.0384 6.3281 9.3395
Bi 0.9468 3.5654 12.5089
Bi 4.9697 2.7753 8.1070
Bi 5.0311 1.3887 3.9883
Bi -0.9821 9.7489 6.4589
Bi 4.0146 0.0000 0.0000
Bi 5.0433 -2.0460 6.7953
Bi -0.9638 4.8761 5.1750
Bi 3.0099 8.4110 1.6506
Bi 9.9820 0.0000 0.0000
Bi 7.0201 8.4641 1.6353
Bi 4.9990 3.7468 12.3180
Bi 7.0304 12.6160 3.1727
Bi 1.0391 -4.9322 10.1260
Bi -2.9406 2.8300 8.1532
Bi 3.0282 9.7356 6.5125
Bi -2.9849 -4.8492 10.4085
Bi -5.0486 9.7360 6.5285
Bi 0.9587 2.8121 8.1440
Bi 4.9506 -0.7670 11.6861
Bi -1.0566 8.4778 1.6269
Bi 6.9746 3.9502 1.0058
S 8.9707 4.0346 3.4836
S -3.0124 6.1536 11.1173
S 3.0062 -2.6994 11.6466
S -0.9927 -0.9991 5.2390
S 6.9912 -2.6552 11.5685
S 2.9701 -0.9917 5.2400
S -1.0001 8.8621 10.9882
S 1.0164 10.3532 1.7649
S 8.9846 6.4821 0.9439
S 6.9981 -1.0446 5.1617
S 4.9926 11.3253 5.1417
S 1.0037 11.3374 5.1169
S -4.9992 1.2423 12.3785
S 5.0033 -5.0232 13.0980
S 4.9761 8.7335 8.1653
S 6.9943 2.4375 6.0654
S -5.0138 3.6498 9.8439
S 2.9919 12.7769 0.1539
S 2.9866 1.2156 12.3778
S 8.9953 -1.1397 2.4235
S 4.9957 6.4546 0.9458
S -0.9858 3.7441 9.8372
S 2.9760 8.8312 10.8977
S 1.0113 6.1630 11.1240
S 0.9929 -1.1746 2.3362
S 0.9868 8.6915 8.0869
S 6.9679 12.7140 0.2258
S -3.0079 10.3965 1.6766
S -1.0054 2.4198 6.0811
S -0.9896 1.2203 12.4010
S 3.0023 -3.6579 8.1791
S 0.9841 3.9456 3.4808
S -1.0072 -3.6493 8.2094
S -2.9756 8.6788 8.0837
S 4.9787 10.3496 1.7523
S 3.0103 1.5293 2.1927
S -1.0160 1.5305 2.1992
S -4.9736 8.8262 10.9020
S -2.9990 -5.0814 13.1719
S 6.9838 1.4367 2.1807
S -2.9883 5.2837 7.2600
S 6.9786 -3.6354 8.1866
S -0.9816 12.7202 0.2281
S 2.9993 3.6544 9.8380
S 0.9837 6.4741 0.9223
S 1.0007 5.2683 7.2372
S 5.0084 4.0437 3.4742
S 4.9756 5.2535 7.2549
S -3.0083 11.3480 5.1456
S 0.9795 -5.0128 13.0933
S 4.9715 -1.1408 2.4350
S 2.9848 2.4070 6.0577
S 4.9849 6.2560 11.1375
S -1.0218 -2.6580 11.5616
I 4.9873 7.6907 4.4459
I 2.9919 -0.0054 8.8823
I 6.9839 0.0023 8.8769
I -2.9966 7.6968 4.4395
I -1.0000 0.0031 8.8863
I 0.9954 7.6882 4.4374
```

---

## SiOsPb2 (GGA-PBEsol)

Data for crystalline SiOsPb2 at its relaxed geometry.

Values from the calculation:
crystal system	cubic
formation energy (no corrections)	896	meV per atom

```
4
Lattice="-2.4655 -3.2326 2.6039 1.3952 -4.6215 0.0594 1.9557 -1.8800 3.9937" Properties=species:S:1:pos:R:3 pbc="T T T"
Pb 0.0000 0.0000 0.0000
Pb 0.6640 -7.3007 4.9927
Si 0.2213 -2.4336 1.6642
Os 0.4427 -4.8671 3.3284
```

---

## NiMoSe (GGA-PBEsol)

Data for crystalline NiMoSe at its relaxed geometry.

Values from the calculation:
crystal system	trigonal
formation energy (no corrections)	246	meV per atom

```
3
Lattice="-0.2659 -2.6525 -1.0909 3.3583 0.6107 -2.3035 0.3582 -1.5910 3.7812" Properties=species:S:1:pos:R:3 pbc="T T T"
Se 1.2714 -1.7236 1.3966
Mo -0.0260 -0.2596 -0.1067
Ni 2.2052 -1.6497 -0.9031
```

---

## CdNiMo2 (GGA-PBEsol)

Data for crystalline CdNiMo2 at its relaxed geometry.

Values from the calculation:
crystal system	trigonal
formation energy	0.36	eV/atom

```
4
Lattice="2.7259 0.0000 0.0000 1.3630 2.3607 0.0000 1.3630 0.7869 9.3171" Properties=species:S:1:pos:R:3 pbc="T T T"
Mo 1.3630 0.7869 2.5659
Mo 4.0889 2.3607 6.7512
Ni 2.7259 1.5738 4.6586
Cd 0.0000 0.0000 0.0000
```

---

## Ba5Nb4O15 (GGA-PBEsol)

Data for crystalline Ba5Nb4O15 at its relaxed geometry.

Values from the calculation:
crystal system	trigonal
formation energy (no corrections)	-2867	meV per atom

```
24
Lattice="-3.5384 -3.1401 -3.3756 5.5646 0.7302 -1.5094 2.9106 -9.7460 6.0152" Properties=species:S:1:pos:R:3 pbc="T T T"
O 4.5951 -1.7984 -0.6640
O 3.0998 -9.9956 1.0461
O 1.9016 -5.9202 -1.4891
O 0.8811 -4.7064 0.9714
O 1.8369 -2.1604 0.0842
O 3.0351 -6.2358 2.6193
O -1.7692 -1.5701 -1.6878
O 4.0556 -7.4496 0.1589
O 5.8378 -5.8680 1.8591
O 0.3416 -10.3575 1.7942
O 2.0955 -8.8010 3.4675
O -0.9011 -6.2880 -0.7288
O 2.7823 0.3651 -0.7547
O 2.8412 -3.3549 -2.3372
O 1.0131 -1.2050 -2.4425
Nb 0.9244 -3.0953 1.9104
Nb 1.9862 -6.6508 4.1049
Nb 2.8367 -1.5861 -1.4981
Nb 2.1000 -10.5699 2.6283
Ba 3.7789 -4.7411 0.4492
Ba 0.1062 -3.8937 -1.4922
Ba 0.0000 0.0000 0.0000
Ba 1.1578 -7.4148 0.6810
Ba 4.8305 -8.2622 2.6224
```

---

## AlHg3Cl (GGA-PBEsol)

Data for crystalline AlHg3Cl at its relaxed geometry.

Values from the calculation:
crystal system	cubic
formation energy (no corrections)	586	meV per atom

```
5
Lattice="5.4479 0.0000 0.0000 0.0000 5.4479 0.0000 0.0000 0.0000 5.4479" Properties=species:S:1:pos:R:3 pbc="T T T"
Al 2.7240 2.7240 2.7240
Hg 0.0000 2.7240 0.0000
Hg 0.0000 0.0000 2.7240
Hg 2.7240 0.0000 0.0000
Cl 0.0000 0.0000 0.0000
```

---

## Er2Fe3Cu (GGA-PBEsol)

Data for crystalline Er2Fe3Cu at its relaxed geometry.

Values from the calculation:
crystal system	trigonal
formation energy	-0.10	eV/atom

```
6
Lattice="4.9354 0.0000 0.0000 2.4677 4.2742 0.0000 2.4677 1.4247 4.2266" Properties=species:S:1:pos:R:3 pbc="T T T"
Cu 4.9354 2.8495 2.1133
Er 2.4677 1.4247 2.6717
Er 7.4031 4.2742 1.5548
Fe 2.4677 0.0000 0.0000
Fe 3.7015 2.1371 0.0000
Fe 1.2338 2.1371 0.0000
```

---

no.,ρ (g/cm3)
1,5.25
2,5.06
3,6.40
4,1.89
5,9.85
6,11.33
7,7.63
8,8.21
9,6.60
10,3.72
11,1.61
12,6.97
13,8.09
14,9.61
15,7.06
16,13.20
17,9.17
18,10.05
19,6.24
20,6.82
21,10.53